1.
Material: Ac4RuAuI2
Method: DFT, PBE
State: optimized geometry

Raw formation energy (eV/atom): -0.87

```
data_Ac4RuAuI2
_chemical_formula_sum 'Ac4 Ru1 Au1 I2'
_symmetry_space_group_name_H-M 'P 1 2/m 1'
_symmetry_Int_Tables_number 10
_cell_length_a 7.801
_cell_length_b 4.458
_cell_length_c 9.013
_cell_angle_alpha 90.00
_cell_angle_beta 106.66
_cell_angle_gamma 90.00
loop_
_symmetry_equiv_pos_as_xyz
'x,y,z'
'-x,-y,-z'
'-x,y,-z'
'x,-y,z'
loop_
_atom_site_label
_atom_site_type_symbol
_atom_site_fract_x
_atom_site_fract_y
_atom_site_fract_z
Ac1 Ac 0.215 0.000 0.186
Ac2 Ac 0.249 0.500 0.812
Ru1 Ru 0.000 0.500 0.000
Au1 Au 0.500 0.000 0.000
I1 I 0.000 0.000 0.500
I2 I 0.500 0.500 0.500
```

---

2.
Material: Ce2Ga5PdRu2
Method: DFT, PBE
State: optimized geometry

Calculated formation energy (eV per atom): -0.4985

```
data_Ce2Ga5PdRu2
_chemical_formula_sum 'Ce4 Ga10 Pd2 Ru4'
_symmetry_space_group_name_H-M 'P 4/m b m'
_symmetry_Int_Tables_number 127
_symmetry_space_group_name_Hall '-P 4 2ab'
_cell_length_a 9.186
_cell_length_b 9.186
_cell_length_c 4.312
_cell_angle_alpha 90.00
_cell_angle_beta 90.00
_cell_angle_gamma 90.00
loop_
_atom_site_label
_atom_site_type_symbol
_atom_site_fract_x
_atom_site_fract_y
_atom_site_fract_z
Ce1 Ce 0.190 0.310 0.000
Ga1 Ga 0.000 0.500 0.500
Ga2 Ga 0.050 0.799 0.500
Pd1 Pd 0.000 0.000 0.000
Ru1 Ru 0.119 0.619 0.000
```

---

3.
Material: MgGePd
Method: DFT, PBE
State: optimized geometry

Calculated formation energy (eV per atom): -0.4555

```
data_MgGePd
_chemical_formula_sum 'Mg2 Ge2 Pd2'
_symmetry_space_group_name_H-M 'I 4 m m'
_symmetry_Int_Tables_number 107
_symmetry_space_group_name_Hall 'I 4 -2'
_cell_length_a 3.354
_cell_length_b 3.354
_cell_length_c 9.029
_cell_angle_alpha 90.00
_cell_angle_beta 90.00
_cell_angle_gamma 90.00
loop_
_atom_site_label
_atom_site_type_symbol
_atom_site_fract_x
_atom_site_fract_y
_atom_site_fract_z
Mg1 Mg 0.000 0.000 0.000
Ge1 Ge 0.000 0.000 0.313
Pd1 Pd 0.000 0.000 0.679
```

---

4.
Material: YTmCu2Ge2
Method: DFT, PBE
State: optimized geometry

Calculated formation energy (eV per atom): -0.6855

```
data_YTmCu2Ge2
_chemical_formula_sum 'Y1 Tm1 Cu2 Ge2'
_symmetry_space_group_name_H-M 'P -3 m 1'
_symmetry_Int_Tables_number 164
_symmetry_space_group_name_Hall '-P 3 2"'
_cell_length_a 4.2281
_cell_length_b 4.2281
_cell_length_c 7.3428
_cell_angle_alpha 90.00
_cell_angle_beta 90.00
_cell_angle_gamma 120.00
loop_
_atom_site_label
_atom_site_type_symbol
_atom_site_fract_x
_atom_site_fract_y
_atom_site_fract_z
Y1 Y 0.0000 0.0000 0.0000
Tm1 Tm 0.0000 0.0000 0.5000
Cu1 Cu 0.3333 0.6667 0.7399
Ge1 Ge 0.3333 0.6667 0.2543
```

---

5.
Material: MnV6W5
Method: DFT, PBE
State: optimized geometry

Calculated formation energy (eV per atom): -0.0853

```
data_MnV6W5
_chemical_formula_sum 'Mn2 V12 W10'
_symmetry_space_group_name_H-M 'I m m m'
_symmetry_Int_Tables_number 71
_symmetry_space_group_name_Hall '-I 2 2'
_cell_length_a 4.308
_cell_length_b 6.115
_cell_length_c 12.989
_cell_angle_alpha 90.00
_cell_angle_beta 90.00
_cell_angle_gamma 90.00
loop_
_atom_site_label
_atom_site_type_symbol
_atom_site_fract_x
_atom_site_fract_y
_atom_site_fract_z
Mn1 Mn 0.000 0.000 0.000
V1 V 0.000 0.247 0.164
V2 V 0.000 0.256 0.500
W1 W 0.000 0.000 0.334
W2 W 0.000 0.500 0.000
W3 W 0.000 0.500 0.334
```

---

6.
Material: Na3SbH
Method: DFT, PBE
State: optimized geometry

Offset from the most stable computed form (kcal/mol of atoms): 0.00

```
data_Na3SbH
_chemical_formula_sum 'Na6 Sb2 H2'
_symmetry_space_group_name_H-M 'P 1'
_symmetry_Int_Tables_number 1
_cell_length_a 5.430
_cell_length_b 6.361
_cell_length_c 6.912
_cell_angle_alpha 90.19
_cell_angle_beta 90.44
_cell_angle_gamma 92.46
loop_
_symmetry_equiv_pos_as_xyz
'x,y,z'
loop_
_atom_site_label
_atom_site_type_symbol
_atom_site_fract_x
_atom_site_fract_y
_atom_site_fract_z
Na1 Na 0.000 0.000 0.000
Na2 Na 0.001 0.559 0.222
Na3 Na 0.004 0.006 0.444
Na4 Na 0.458 0.325 0.444
Na5 Na 0.479 0.302 0.999
Na6 Na 0.498 0.749 0.731
Sb1 Sb 0.515 0.821 0.231
Sb2 Sb 0.982 0.420 0.745
H1 H 0.144 0.256 0.207
H2 H 0.903 0.373 0.501
```

---

7.
Material: KAsW2
Method: DFT, PBE
State: optimized geometry

Calculated formation energy (eV per atom): 0.5158

```
data_KAsW2
_chemical_formula_sum 'K1 As1 W2'
_symmetry_space_group_name_H-M 'P 4 m m'
_symmetry_Int_Tables_number 99
_cell_length_a 3.252
_cell_length_b 3.252
_cell_length_c 8.299
_cell_angle_alpha 90.00
_cell_angle_beta 90.00
_cell_angle_gamma 90.00
loop_
_symmetry_equiv_pos_as_xyz
'x,y,z'
'-y,x,z'
'-x,-y,z'
'y,-x,z'
'-x,y,z'
'y,x,z'
'x,-y,z'
'-y,-x,z'
loop_
_atom_site_label
_atom_site_type_symbol
_atom_site_fract_x
_atom_site_fract_y
_atom_site_fract_z
K1 K 0.000 0.000 0.000
As1 As 0.500 0.500 0.699
W1 W 0.000 0.000 0.517
W2 W 0.500 0.500 0.357
```

---

8.
Material: Zn2Ga3Ag8
Method: DFT, PBE
State: optimized geometry

Calculated formation energy (eV per atom): -0.0002
Offset from the most stable computed form (kcal/mol of atoms): 0.00

```
data_Zn2Ga3Ag8
_chemical_formula_sum 'Zn2 Ga3 Ag8'
_symmetry_space_group_name_H-M 'P 1 2/m 1'
_symmetry_Int_Tables_number 10
_cell_length_a 9.162
_cell_length_b 2.933
_cell_length_c 9.645
_cell_angle_alpha 90.00
_cell_angle_beta 118.24
_cell_angle_gamma 90.00
loop_
_symmetry_equiv_pos_as_xyz
'x,y,z'
'-x,-y,-z'
'-x,y,-z'
'x,-y,z'
loop_
_atom_site_label
_atom_site_type_symbol
_atom_site_fract_x
_atom_site_fract_y
_atom_site_fract_z
Zn1 Zn 0.041 0.000 0.379
Ga1 Ga 0.430 0.500 0.230
Ga2 Ga 0.500 0.000 0.000
Ag1 Ag 0.140 0.000 0.151
Ag2 Ag 0.173 0.500 0.898
Ag3 Ag 0.275 0.000 0.691
Ag4 Ag 0.325 0.500 0.454
```

---

9.
Material: PmPrNiIr
Method: DFT, PBE
State: optimized geometry

Calculated formation energy (eV per atom): -0.5070
Offset from the most stable computed form (kcal/mol of atoms): 0.00

```
data_PmPrNiIr
_chemical_formula_sum 'Pm2 Pr2 Ni2 Ir2'
_symmetry_space_group_name_H-M 'A m m 2'
_symmetry_Int_Tables_number 38
_cell_length_a 4.167
_cell_length_b 4.018
_cell_length_c 10.943
_cell_angle_alpha 90.00
_cell_angle_beta 90.00
_cell_angle_gamma 90.00
loop_
_symmetry_equiv_pos_as_xyz
'x,y,z'
'-x,-y,z'
'-x,y,z'
'x,-y,z'
'x,y+1/2,z+1/2'
'-x,-y+1/2,z+1/2'
'-x,y+1/2,z+1/2'
'x,-y+1/2,z+1/2'
loop_
_atom_site_label
_atom_site_type_symbol
_atom_site_fract_x
_atom_site_fract_y
_atom_site_fract_z
Pm1 Pm 0.000 0.000 0.000
Pr1 Pr 0.500 0.000 0.282
Ni1 Ni 0.000 0.000 0.712
Ir1 Ir 0.500 0.000 0.565
```

---

10.
Material: TlIrNO2
Method: DFT, PBE
State: optimized geometry

Raw formation energy (eV/atom): 0.04

```
data_TlIrNO2
_chemical_formula_sum 'Tl1 Ir1 N1 O2'
_symmetry_space_group_name_H-M 'P 4/m m m'
_symmetry_Int_Tables_number 123
_symmetry_space_group_name_Hall '-P 4 2'
_cell_length_a 4.121
_cell_length_b 4.121
_cell_length_c 3.792
_cell_angle_alpha 90.00
_cell_angle_beta 90.00
_cell_angle_gamma 90.00
loop_
_atom_site_label
_atom_site_type_symbol
_atom_site_fract_x
_atom_site_fract_y
_atom_site_fract_z
Tl1 Tl 0.000 0.000 0.000
Ir1 Ir 0.500 0.500 0.500
N1 N 0.500 0.500 0.000
O1 O 0.000 0.500 0.500
```

---

11.
Material: PrHoMgCu
Method: DFT, PBE
State: optimized geometry

Calculated formation energy (eV per atom): -0.0415

```
data_PrHoMgCu
_chemical_formula_sum 'Pr4 Ho4 Mg4 Cu4'
_symmetry_space_group_name_H-M 'F -4 3 m'
_symmetry_Int_Tables_number 216
_symmetry_space_group_name_Hall 'F -4 2 3'
_cell_length_a 7.388
_cell_length_b 7.388
_cell_length_c 7.388
_cell_angle_alpha 90.00
_cell_angle_beta 90.00
_cell_angle_gamma 90.00
loop_
_atom_site_label
_atom_site_type_symbol
_atom_site_fract_x
_atom_site_fract_y
_atom_site_fract_z
Pr1 Pr 0.000 0.000 0.000
Ho1 Ho 0.000 0.000 0.500
Mg1 Mg 0.250 0.250 0.750
Cu1 Cu 0.250 0.250 0.250
```

---

12.
Material: La7Dy12Y
Method: DFT, PBE
State: optimized geometry

Calculated formation energy (eV per atom): 0.6105

```
data_La7Dy12Y
_chemical_formula_sum 'La14 Dy24 Y2'
_symmetry_space_group_name_H-M 'I m -3 m'
_symmetry_Int_Tables_number 229
_symmetry_space_group_name_Hall '-I 4 2 3'
_cell_length_a 11.365
_cell_length_b 11.365
_cell_length_c 11.365
_cell_angle_alpha 90.00
_cell_angle_beta 90.00
_cell_angle_gamma 90.00
loop_
_atom_site_label
_atom_site_type_symbol
_atom_site_fract_x
_atom_site_fract_y
_atom_site_fract_z
La1 La 0.000 0.000 0.500
La2 La 0.250 0.250 0.250
Dy1 Dy 0.000 0.247 0.247
Y1 Y 0.000 0.000 0.000
```

---

| no. | density (g/cm³) |
| --- | --- |
| 1 | 8.1 |
| 2 | 8.6 |
| 3 | 6.6 |
| 4 | 7.7 |
| 5 | 12.4 |
| 6 | 2.7 |
| 7 | 9.1 |
| 8 | 8.7 |
| 9 | 9.7 |
| 10 | 11.4 |
| 11 | 6.5 |
| 12 | 6.8 |